First-principles (PBE-GGA) data for a relaxed structure of Mg4TlPb2, as listed in Alexandria.

Geometry as extended XYZ:
```
7
Lattice="5.451 0.000 -1.647 -0.498 5.428 -1.647 -0.812 -0.890 7.157" Properties=species:S:1:pos:R:3 pbc="T T T"
Mg 3.558 0.912 1.931
Mg 0.584 3.626 1.931
Mg 2.726 0.000 -0.824
Mg -0.249 2.714 -0.824
Tl 0.000 0.000 0.000
Pb 2.928 3.208 -0.155
Pb 1.214 1.330 4.017
```

Properties
* energy: -2.2100 eV per atom
* E_form: 0.099 eV/atom

=====

First-principles (PBE-GGA) data for a relaxed structure of CsLaCd2, as listed in Alexandria.

Geometry as extended XYZ:
```
8
Lattice="-4.284 0.857 8.212 -8.126 -2.077 -4.023 -5.599 -4.353 2.802" Properties=species:S:1:pos:R:3 pbc="T T T"
Cs -6.205 -0.610 2.095
Cs -9.965 -3.520 0.437
Cd -5.249 -0.781 5.629
Cd -6.858 -2.310 -1.086
Cd -8.557 -3.647 3.819
Cd -15.354 -4.408 5.621
La 0.000 0.000 0.000
La -8.044 -2.053 6.555
```

Properties
* energy: -1.6158 eV per atom
* E_form: 0.287 eV/atom

=====

First-principles (PBE-GGA) data for a relaxed structure of KNa14Li, as listed in Alexandria.

Geometry as extended XYZ:
```
16
Lattice="-6.992 -2.593 -1.324 2.894 -6.113 -3.409 0.136 -5.056 9.182" Properties=species:S:1:pos:R:3 pbc="T T T"
K -3.517 -10.145 0.449
Na -3.585 -7.617 -4.141
Na -1.536 -3.264 -1.775
Na -4.964 -7.089 2.154
Na -5.032 -4.561 -2.437
Na -0.022 -8.849 1.111
Na -0.089 -6.321 -3.479
Na -3.853 -3.676 0.987
Na -3.784 -6.236 5.636
Na 0.847 -5.349 -0.004
Na 0.915 -7.909 4.645
Na -2.477 -6.582 -0.635
Na -2.408 -9.143 4.015
Na -0.529 -2.442 1.616
Na -0.460 -5.003 6.266
Li -1.468 -5.792 2.816
```

Properties
* energy: -1.3109 eV per atom
* E_form: 0.031 eV/atom

=====

First-principles (PBE-GGA) data for a relaxed structure of Pu2MgHgO8, as listed in Alexandria.

Geometry as extended XYZ:
```
12
Lattice="6.204 0.690 0.000 -2.133 5.866 0.000 -2.035 -3.278 4.907" Properties=species:S:1:pos:R:3 pbc="T T T"
Pu 3.102 0.345 2.453
Pu 2.035 3.278 0.000
Mg -1.067 2.933 2.453
Hg 0.000 0.000 0.000
O 1.547 -0.397 1.524
O 0.452 2.686 1.032
O 0.171 -1.681 3.874
O 3.127 -1.377 3.383
O 3.618 3.870 1.032
O 4.656 1.086 1.524
O 3.077 2.067 3.383
O -0.171 1.681 3.874
```

Properties
* energy relative to the elements, uncorrected: -1640.8 meV/atom
* energy: -7.4930 eV per atom

=====

First-principles (PBE-GGA) data for a relaxed structure of Rb2MgCd3Pb4, as listed in Alexandria.

Geometry as extended XYZ:
```
10
Lattice="-4.951 -0.917 -0.340 0.967 -4.852 -0.996 -0.378 -2.700 12.791" Properties=species:S:1:pos:R:3 pbc="T T T"
Rb -2.571 -1.142 3.068
Rb 0.201 -4.443 9.055
Mg -2.181 -4.235 5.728
Cd -0.189 -1.350 6.395
Cd -2.799 -2.774 10.800
Cd 0.430 -2.811 1.323
Pb -1.992 -2.885 -0.668
Pb 0.000 0.000 0.000
Pb -2.714 -2.161 7.894
Pb 0.344 -3.424 4.229
```

Properties
* energy: -2.2097 eV per atom
* E_form: -0.099 eV/atom

=====

First-principles (PBE-GGA) data for a relaxed structure of LiTbDyAu, as listed in Alexandria.

Geometry as extended XYZ:
```
4
Lattice="5.112 0.000 0.000 2.556 4.427 0.000 2.556 1.476 4.174" Properties=species:S:1:pos:R:3 pbc="T T T"
Tb 0.000 0.000 0.000
Li 2.556 1.476 1.043
Au 7.668 4.427 3.130
Dy 5.112 2.951 2.087
```

Properties
* energy: -4.0054 eV per atom
* E_form: -0.400 eV/atom